# KBeAgAu2

An optimized crystal structure of KBeAgAu2 (PBE-GGA, Alexandria via LeMat-Bulk).

E_form   -0.0240 eV/atom

abc: 4.6926 4.6926 4.7995
angles: 90.00 90.00 90.00
Space group P4/mmm (No. 123)
One atom of each set of equivalent atoms:
K (0.0000, 0.0000, 0.0000) (multiplicity 1)
Be (0.5000, 0.5000, 0.5000) (multiplicity 1)
Ag (0.5000, 0.5000, 0.0000) (multiplicity 1)
Au (0.0000, 0.5000, 0.5000) (multiplicity 2)



# LaBeAg2Au

An optimized crystal structure of LaBeAg2Au (PBE-GGA, Alexandria via LeMat-Bulk).

E_form   -0.2158 eV/atom

abc: 4.6819 4.6819 4.6774
angles: 90.00 90.00 90.00
Space group P4/mmm (No. 123)
One atom of each set of equivalent atoms:
La (0.0000, 0.0000, 0.0000) (multiplicity 1)
Be (0.5000, 0.5000, 0.5000) (multiplicity 1)
Ag (0.0000, 0.5000, 0.5000) (multiplicity 2)
Au (0.5000, 0.5000, 0.0000) (multiplicity 1)



# La2BeAgAu6

An optimized crystal structure of La2BeAgAu6 (PBE-GGA, Alexandria via LeMat-Bulk).

E_form   -0.3656 eV/atom

abc: 9.7087 9.7001 6.8498
angles: 90.00 134.80 90.00
Space group C2/m (No. 12)
One atom of each set of equivalent atoms:
La (0.0000, 0.2488, 0.0000) (multiplicity 4)
Be (0.0000, 0.0000, 0.5000) (multiplicity 2)
Ag (0.0000, 0.5000, 0.5000) (multiplicity 2)
Au (0.0000, 0.2286, 0.5000) (multiplicity 4)
Au (0.2276, 0.0000, 0.9575) (multiplicity 4)
Au (0.2288, 0.0000, 0.5001) (multiplicity 4)



# La2Be3AgAu12

An optimized crystal structure of La2Be3AgAu12 (PBE-GGA, Alexandria via LeMat-Bulk).

E_form   -0.1616 eV/atom

abc: 8.3127 8.3127 19.2408
angles: 90.00 90.00 120.00
Space group R-3m (No. 166, hexagonal axes)
One atom of each set of equivalent atoms:
La (0.0000, 0.0000, 0.1053) (multiplicity 6)
Be (0.0000, 0.5000, 0.0000) (multiplicity 9)
Ag (0.0000, 0.0000, 0.5000) (multiplicity 3)
Au (0.0197, 0.5099, 0.8779) (multiplicity 18)
Au (0.0428, 0.5214, 0.3566) (multiplicity 18)



# LiBeAgAu

An optimized crystal structure of LiBeAgAu (PBE-GGA, Alexandria via LeMat-Bulk).

E_form   -0.1998 eV/atom

abc: 6.0310 6.0310 6.0310
angles: 90.00 90.00 90.00
Space group F-43m (No. 216)
One atom of each set of equivalent atoms:
Li (0.0000, 0.0000, 0.0000) (multiplicity 4)
Be (0.0000, 0.0000, 0.5000) (multiplicity 4)
Ag (0.2500, 0.2500, 0.7500) (multiplicity 4)
Au (0.2500, 0.2500, 0.2500) (multiplicity 4)



# Li2Be2AgAu5

An optimized crystal structure of Li2Be2AgAu5 (PBE-GGA, Alexandria via LeMat-Bulk).

E_form   -0.2662 eV/atom

abc: 9.9958 9.9958 3.2747
angles: 90.00 90.00 90.00
Space group P4/mbm (No. 127)
One atom of each set of equivalent atoms:
Li (0.1744, 0.3256, 0.0000) (multiplicity 4)
Be (0.1239, 0.6239, 0.0000) (multiplicity 4)
Ag (0.0000, 0.0000, 0.0000) (multiplicity 2)
Au (0.0000, 0.5000, 0.5000) (multiplicity 2)
Au (0.0762, 0.7868, 0.5000) (multiplicity 8)



# LiBe2Ag2Au5

An optimized crystal structure of LiBe2Ag2Au5 (PBE-GGA, Alexandria via LeMat-Bulk).

E_form   -0.1551 eV/atom

abc: 10.2192 10.2192 2.9913
angles: 90.00 90.00 90.00
Space group P4/mbm (No. 127)
One atom of each set of equivalent atoms:
Li (0.0000, 0.0000, 0.0000) (multiplicity 2)
Be (0.1339, 0.3661, 0.0000) (multiplicity 4)
Ag (0.1906, 0.6906, 0.0000) (multiplicity 4)
Au (0.0000, 0.5000, 0.5000) (multiplicity 2)
Au (0.0436, 0.2082, 0.5000) (multiplicity 8)



# MgBe2Ag2Au5

An optimized crystal structure of MgBe2Ag2Au5 (PBE-GGA, Alexandria via LeMat-Bulk).

E_form   -0.1479 eV/atom

abc: 10.0149 10.0149 3.2739
angles: 90.00 90.00 90.00
Space group P4/mbm (No. 127)
One atom of each set of equivalent atoms:
Mg (0.0000, 0.0000, 0.0000) (multiplicity 2)
Be (0.1289, 0.3711, 0.0000) (multiplicity 4)
Ag (0.1880, 0.6880, 0.0000) (multiplicity 4)
Au (0.0000, 0.5000, 0.5000) (multiplicity 2)
Au (0.0493, 0.2161, 0.5000) (multiplicity 8)



Question: The lowest E_form belongs to which entry?
Answer: La2BeAgAu6